# 1
Compound: Ag2PbAu8
Source: the Alexandria database
Functional: PBE-GGA
Structure: optimized geometry

Values from the calculation:
formation enthalpy at 0 K: 0.00 eV/atom
DOS(E_F): 3.391 states/eV/f.u.

Cell: 4.2277 6.7155 7.9291 Å, 105.39 105.46 90.00°
Atoms (fractional coordinates):
Au  0.5945  0.4611  0.1890
Ag  0.7722  0.3642  0.5445
Au  0.0501  0.7158  0.1003
Pb  0.5000  0.0000  0.0000
Au  0.9499  0.2842  0.8997
Ag  0.2278  0.6358  0.4555
Au  0.4055  0.5389  0.8110
Au  0.1415  0.1929  0.2830
Au  0.8585  0.8071  0.7170
Au  0.6861  0.9100  0.3721
Au  0.3139  0.0900  0.6279


# 2
Compound: Ag3Pb5Au12
Source: the Alexandria database
Functional: PBE-GGA
Structure: optimized geometry

Values from the calculation:
formation enthalpy at 0 K: 0.20 eV/atom
DOS(E_F): 10.563 states/eV/f.u.

Cell: 14.0977 14.0977 14.0977 Å, 109.47 109.47 109.47°
Atoms (fractional coordinates):
Pb  0.8750  0.6250  0.7500
Au  0.0740  0.6488  0.7331
Au  0.0740  0.4252  0.8408
Pb  0.5000  0.5000  0.0000
Au  0.5843  0.8512  0.4252
Au  0.7331  0.1488  0.0740
Pb  0.0000  0.0000  0.0000
Pb  0.6250  0.8750  0.2500
Au  0.5748  0.9260  0.6592
Au  0.1488  0.7331  0.5740
Au  0.6592  0.2331  0.5843
Au  0.4252  0.3512  0.5843
Ag  0.8750  0.7500  0.1250
Pb  0.1250  0.3750  0.2500
Au  0.5748  0.6488  0.4157
Au  0.8512  0.2669  0.4260
Au  0.8512  0.5843  0.9252
Au  0.5740  0.2331  0.1488
Ag  0.2500  0.1250  0.3750
Pb  0.7500  0.1250  0.8750
Ag  0.1250  0.8750  0.7500
Pb  0.5000  0.0000  0.0000
Au  0.1488  0.4157  0.0748
Pb  0.0000  0.5000  0.5000
Pb  0.1250  0.7500  0.3750
Ag  0.6250  0.3750  0.7500
Pb  0.2500  0.8750  0.1250
Pb  0.0000  0.0000  0.5000
Au  0.9252  0.8408  0.5740
Ag  0.8750  0.1250  0.2500
Au  0.8408  0.9157  0.2669
Au  0.3512  0.9260  0.7669
Pb  0.5000  0.5000  0.5000
Au  0.2331  0.6592  0.0843
Ag  0.2500  0.6250  0.8750
Au  0.7331  0.5843  0.1592
Au  0.2331  0.5740  0.6488
Ag  0.6250  0.2500  0.3750
Au  0.6488  0.0740  0.2331
Au  0.0748  0.1592  0.4260
Au  0.9260  0.3512  0.2669
Au  0.4157  0.1488  0.5748
Au  0.0843  0.1592  0.2331
Au  0.3408  0.5740  0.4252
Au  0.1592  0.0748  0.9260
Pb  0.5000  0.0000  0.5000
Pb  0.8750  0.2500  0.6250
Pb  0.3750  0.1250  0.7500
Au  0.9260  0.5748  0.1592
Au  0.7669  0.4260  0.3512
Au  0.2669  0.4157  0.8408
Au  0.8408  0.9252  0.0740
Au  0.5843  0.7331  0.6592
Au  0.1592  0.0843  0.7331
Ag  0.7500  0.8750  0.6250
Pb  0.2500  0.3750  0.6250
Au  0.0748  0.9157  0.1488
Au  0.9157  0.0748  0.6488
Pb  0.6250  0.7500  0.8750
Pb  0.3750  0.2500  0.1250
Au  0.6488  0.5748  0.9157
Ag  0.3750  0.7500  0.6250
Au  0.3408  0.7669  0.4157
Au  0.3512  0.4252  0.0843
Au  0.7669  0.3408  0.9157
Au  0.0843  0.9252  0.3512
Pb  0.7500  0.6250  0.3750
Ag  0.3750  0.6250  0.2500
Au  0.2669  0.8512  0.9260
Au  0.4252  0.0740  0.3408
Ag  0.1250  0.2500  0.8750
Au  0.4260  0.7669  0.8512
Au  0.9157  0.8408  0.7669
Au  0.4260  0.6592  0.0748
Pb  0.0000  0.5000  0.0000
Au  0.9252  0.0843  0.8512
Au  0.6592  0.4260  0.5748
Ag  0.7500  0.3750  0.1250
Au  0.4157  0.2669  0.3408
Au  0.5740  0.3408  0.9252


# 3
Compound: AgPbAu4
Source: the Alexandria database
Functional: PBE-GGA
Structure: optimized geometry

Values from the calculation:
polymorph energy (0 for the lowest one): 0.000 kcal/mol of atoms
formation enthalpy at 0 K: 0.02 eV/atom
DOS(E_F): 1.996 states/eV/f.u.

Cell: 5.6170 5.6170 5.6170 Å, 60.00 60.00 60.00°
Atoms (fractional coordinates):
Ag  0.0000  0.0000  0.0000
Au  0.6255  0.6255  0.6255
Au  0.1236  0.6255  0.6255
Au  0.6255  0.6255  0.1236
Au  0.6255  0.1236  0.6255
Pb  0.2500  0.2500  0.2500


# 4
Compound: AgPb3Au2
Source: the Alexandria database
Functional: PBE-GGA
Structure: optimized geometry

Values from the calculation:
formation enthalpy at 0 K: 0.03 eV/atom
DOS(E_F): 2.350 states/eV/f.u.

Cell: 4.9246 3.6933 8.4137 Å, 90.00 107.02 90.00°
Atoms (fractional coordinates):
Pb  0.5000  0.5000  0.0000
Pb  0.6803  0.0000  0.3606
Pb  0.3197  0.0000  0.6394
Au  0.8580  0.5000  0.7160
Ag  0.0000  0.0000  0.0000
Au  0.1420  0.5000  0.2840


# 5
Compound: AgPb2Au2
Source: the Alexandria database
Functional: PBE-GGA
Structure: optimized geometry

Values from the calculation:
polymorph energy (0 for the lowest one): 2.441 kcal/mol of atoms
formation enthalpy at 0 K: 0.10 eV/atom
DOS(E_F): 2.092 states/eV/f.u.

Cell: 3.8462 3.8462 8.8155 Å, 77.40 77.40 90.00°
Atoms (fractional coordinates):
Au  0.7500  0.2500  0.5000
Au  0.2500  0.7500  0.5000
Pb  0.6019  0.6019  0.7961
Ag  0.0000  0.0000  0.0000
Pb  0.3981  0.3981  0.2039


# 6
Compound: Ag2Pd4Pb2Au
Source: the Alexandria database
Functional: PBE-GGA
Structure: optimized geometry

Values from the calculation:
formation enthalpy at 0 K: 0.11 eV/atom
DOS(E_F): 6.477 states/eV/f.u.

Cell: 6.4229 6.4229 6.4229 Å, 90.50 119.71 119.71°
Atoms (fractional coordinates):
Ag  0.0000  0.2877  0.2877
Pd  0.4299  0.7149  0.7149
Au  0.0000  0.0000  0.0000
Ag  0.0000  0.7123  0.7123
Pb  0.5000  0.7500  0.2500
Pd  0.0000  0.2851  0.7149
Pd  0.5701  0.2851  0.2851
Pb  0.5000  0.2500  0.7500
Pd  0.0000  0.7149  0.2851


# 7
Compound: PmAgPbAu
Source: the Alexandria database
Functional: PBE-GGA
Structure: optimized geometry

Values from the calculation:
formation enthalpy at 0 K: -0.44 eV/atom
DOS(E_F): 1.979 states/eV/f.u.

Cell: 5.1180 5.1180 5.1180 Å, 60.00 60.00 60.00°
Atoms (fractional coordinates):
Ag  0.2500  0.2500  0.2500
Au  0.7500  0.7500  0.7500
Pm  0.5000  0.5000  0.5000
Pb  0.0000  0.0000  0.0000


# 8
Compound: PrAgPbAu
Source: the Alexandria database
Functional: PBE-GGA
Structure: optimized geometry

Values from the calculation:
formation enthalpy at 0 K: -0.44 eV/atom
DOS(E_F): 2.037 states/eV/f.u.

Cell: 5.1614 5.1614 5.1614 Å, 60.00 60.00 60.00°
Atoms (fractional coordinates):
Pr  0.0000  0.0000  0.0000
Pb  0.5000  0.5000  0.5000
Ag  0.2500  0.2500  0.2500
Au  0.7500  0.7500  0.7500


# 9
Compound: PuAgPbAu
Source: the Alexandria database
Functional: PBE-GGA
Structure: optimized geometry

Values from the calculation:
formation enthalpy at 0 K: -0.16 eV/atom
DOS(E_F): 16.050 states/eV/f.u.

Cell: 5.1076 5.1076 5.1076 Å, 60.00 60.00 60.00°
Last column: magnetic moment on the atom in μB.
Atoms (fractional coordinates):
Au  0.2500  0.2500  0.2500  0.01
Ag  0.7500  0.7500  0.7500  0.02
Pu  0.0000  0.0000  0.0000  5.35
Pb  0.5000  0.5000  0.5000  0.00


# 10
Compound: RbAgPb3Au
Source: the Alexandria database
Functional: PBE-GGA
Structure: optimized geometry

Values from the calculation:
formation enthalpy at 0 K: 0.10 eV/atom
DOS(E_F): 4.421 states/eV/f.u.

Cell: 7.5659 7.6010 8.5905 Å, 116.26 90.00 90.00°
Atoms (fractional coordinates):
Pb  0.5000  0.7416  0.0000
Pb  0.0000  0.2584  0.0000
Ag  0.7500  0.5847  0.1694
Pb  0.2500  0.2380  0.4760
Ag  0.2500  0.4153  0.8306
Pb  0.7500  0.7620  0.5240
Pb  0.0000  0.7416  0.0000
Pb  0.5000  0.2584  0.0000
Rb  0.2500  0.7735  0.5469
Rb  0.7500  0.2265  0.4531
Au  0.2500  0.0625  0.1251
Au  0.7500  0.9375  0.8749


# 11
Compound: ReAgPb2Au
Source: the Alexandria database
Functional: PBE-GGA
Structure: optimized geometry

Values from the calculation:
formation enthalpy at 0 K: 0.99 eV/atom
DOS(E_F): 4.777 states/eV/f.u.

Cell: 5.2681 5.1491 5.2681 Å, 90.00 90.00 90.00°
Atoms (fractional coordinates):
Pb  0.5000  0.0000  0.0000
Ag  0.0000  0.5000  0.0000
Pb  0.0000  0.0000  0.5000
Re  0.0000  0.0000  0.0000
Au  0.5000  0.5000  0.5000


# 12
Compound: AgPbAuS2
Source: the Alexandria database
Functional: PBE-GGA
Structure: optimized geometry

Values from the calculation:
E_form (uncorrected): -0.232 eV/atom
DOS(E_F): 0.018 states/eV/f.u.

Cell: 4.6698 6.9365 7.5122 Å, 103.44 90.00 90.00°
Atoms (fractional coordinates):
Pb  0.1634  0.5000  0.7500
Ag  0.4959  0.0000  0.2500
Pb  0.8366  0.5000  0.2500
Ag  0.5041  0.0000  0.7500
Au  0.0000  0.0000  0.0000
S  0.3013  0.2760  0.0357
S  0.6987  0.7240  0.9643
S  0.6987  0.2760  0.5357
S  0.3013  0.7240  0.4643
Au  0.0000  0.0000  0.5000


# 13
Compound: AgPbAuSe2
Source: the Alexandria database
Functional: PBE-GGA
Structure: optimized geometry

Values from the calculation:
E_form (uncorrected): -0.249 eV/atom
DOS(E_F): 0.006 states/eV/f.u.

Cell: 4.7470 7.2148 7.7010 Å, 100.89 90.00 90.00°
Atoms (fractional coordinates):
Pb  0.1408  0.5000  0.7500
Se  0.6843  0.7242  0.9605
Se  0.3157  0.7242  0.4605
Ag  0.4953  0.0000  0.2500
Au  0.0000  0.0000  0.5000
Ag  0.5047  0.0000  0.7500
Au  0.0000  0.0000  0.0000
Se  0.3157  0.2758  0.0395
Se  0.6843  0.2758  0.5395
Pb  0.8592  0.5000  0.2500


# 14
Compound: AgPb2AuSe
Source: the Alexandria database
Functional: PBE-GGA
Structure: optimized geometry

Values from the calculation:
E_form (uncorrected): 0.400 eV/atom
DOS(E_F): 2.524 states/eV/f.u.

Cell: 5.8157 4.8391 5.8157 Å, 90.00 90.00 90.00°
Atoms (fractional coordinates):
Pb  0.5000  0.0000  0.0000
Se  0.0000  0.0000  0.0000
Pb  0.0000  0.0000  0.5000
Ag  0.5000  0.5000  0.5000
Au  0.0000  0.5000  0.0000


# 15
Compound: SmAgPbAu
Source: the Alexandria database
Functional: PBE-GGA
Structure: optimized geometry

Values from the calculation:
formation enthalpy at 0 K: -0.44 eV/atom
DOS(E_F): 1.975 states/eV/f.u.

Cell: 5.1044 5.1044 5.1044 Å, 60.00 60.00 60.00°
Atoms (fractional coordinates):
Pb  0.5000  0.5000  0.5000
Au  0.7500  0.7500  0.7500
Sm  0.0000  0.0000  0.0000
Ag  0.2500  0.2500  0.2500


# 16
Compound: Sr3Ag2Pb2Au4
Source: the Alexandria database
Functional: PBE-GGA
Structure: optimized geometry

Values from the calculation:
formation enthalpy at 0 K: -0.45 eV/atom
DOS(E_F): 4.183 states/eV/f.u.

Cell: 4.8477 4.8477 15.1054 Å, 90.00 90.00 120.00°
Atoms (fractional coordinates):
Ag  0.3333  0.6667  0.1360
Au  0.3333  0.6667  0.3758
Au  0.6667  0.3333  0.6242
Sr  0.0000  0.0000  0.7398
Sr  0.0000  0.0000  0.0000
Au  0.6667  0.3333  0.1273
Au  0.3333  0.6667  0.8727
Ag  0.6667  0.3333  0.8640
Pb  0.6667  0.3333  0.4228
Pb  0.3333  0.6667  0.5772
Sr  0.0000  0.0000  0.2602


# 17
Compound: Sr2AgPbAu
Source: the Alexandria database
Functional: PBE-GGA
Structure: optimized geometry

Values from the calculation:
formation enthalpy at 0 K: -0.11 eV/atom
DOS(E_F): 3.433 states/eV/f.u.

Cell: 5.9309 5.0861 5.9309 Å, 90.00 90.00 90.00°
Atoms (fractional coordinates):
Ag  0.0000  0.0000  0.0000
Sr  0.5000  0.0000  0.0000
Au  0.0000  0.5000  0.0000
Sr  0.0000  0.0000  0.5000
Pb  0.5000  0.5000  0.5000


# 18
Compound: AgTe2PbAu
Source: the Alexandria database
Functional: PBE-GGA
Structure: optimized geometry

Values from the calculation:
E_form (uncorrected): -0.156 eV/atom

Cell: 4.8572 7.7169 8.0506 Å, 98.82 90.00 90.00°
Atoms (fractional coordinates):
Te  0.6708  0.2726  0.5402
Ag  0.4979  0.0000  0.2500
Te  0.6708  0.7274  0.9598
Pb  0.1266  0.5000  0.7500
Au  0.0000  0.0000  0.0000
Ag  0.5021  0.0000  0.7500
Te  0.3292  0.2726  0.0402
Pb  0.8734  0.5000  0.2500
Au  0.0000  0.0000  0.5000
Te  0.3292  0.7274  0.4598


# 19
Compound: ThAgPbAu
Source: the Alexandria database
Functional: PBE-GGA
Structure: optimized geometry

Values from the calculation:
formation enthalpy at 0 K: -0.32 eV/atom
DOS(E_F): 1.480 states/eV/f.u.

Cell: 5.1548 5.1548 5.1548 Å, 60.00 60.00 60.00°
Atoms (fractional coordinates):
Au  0.2500  0.2500  0.2500
Pb  0.5000  0.5000  0.5000
Ag  0.7500  0.7500  0.7500
Th  0.0000  0.0000  0.0000


# 20
Compound: TlAgPbAu
Source: the Alexandria database
Functional: PBE-GGA
Structure: optimized geometry

Values from the calculation:
polymorph energy (0 for the lowest one): 0.833 kcal/mol of atoms
formation enthalpy at 0 K: 0.08 eV/atom
DOS(E_F): 2.258 states/eV/f.u.

Cell: 5.1476 5.1476 5.1476 Å, 60.00 60.00 60.00°
Atoms (fractional coordinates):
Tl  0.5000  0.5000  0.5000
Ag  0.2500  0.2500  0.2500
Pb  0.0000  0.0000  0.0000
Au  0.7500  0.7500  0.7500


# 21
Compound: TlAgPbAu
Source: the Alexandria database
Functional: PBE-GGA
Structure: optimized geometry

Values from the calculation:
polymorph energy (0 for the lowest one): 0.000 kcal/mol of atoms
formation enthalpy at 0 K: 0.04 eV/atom
DOS(E_F): 1.669 states/eV/f.u.

Cell: 4.6963 4.6963 6.0262 Å, 90.21 113.56 118.84°
Atoms (fractional coordinates):
Pb  0.9707  0.8449  0.8156
Ag  0.5557  0.6443  0.2000
Au  0.7852  0.2548  0.0400
Tl  0.3806  0.0604  0.4410


# 22
Compound: TmAgPbAu
Source: the Alexandria database
Functional: PBE-GGA
Structure: optimized geometry

Values from the calculation:
formation enthalpy at 0 K: -0.38 eV/atom
DOS(E_F): 2.327 states/eV/f.u.

Cell: 5.0199 5.0199 5.0199 Å, 60.00 60.00 60.00°
Atoms (fractional coordinates):
Pb  0.5000  0.5000  0.5000
Tm  0.0000  0.0000  0.0000
Ag  0.2500  0.2500  0.2500
Au  0.7500  0.7500  0.7500


# 23
Compound: YAgPbAu
Source: the Alexandria database
Functional: PBE-GGA
Structure: optimized geometry

Values from the calculation:
formation enthalpy at 0 K: -0.42 eV/atom
DOS(E_F): 2.114 states/eV/f.u.

Cell: 5.0587 5.0587 5.0587 Å, 60.00 60.00 60.00°
Atoms (fractional coordinates):
Ag  0.0000  0.0000  0.0000
Au  0.5000  0.5000  0.5000
Y  0.7500  0.7500  0.7500
Pb  0.2500  0.2500  0.2500